This record from Alexandria via LeMat-Bulk describes Pm2DyEr3Se6 after structural relaxation. The functional is PBE.

For the density of states at the Fermi level, the calculation gives 10.65 states/eV/cell. Its uncorrected formation energy is -1.75 eV/atom.

It has space group C2/m (No. 12), with a = 17.917 Å, b = 4.067 Å, c = 8.266 Å, α = 90.00°, β = 104.33° and γ = 90.00°. The asymmetric unit holds Pm at (0.168, 0.000, 0.336), Dy at (0.000, 0.500, 0.000), Er at (0.000, 0.500, 0.500), Er at (0.169, 0.000, 0.833), Se at (0.004, 0.000, 0.750), Se at (0.163, 0.500, 0.592) and Se at (0.166, 0.500, 0.073).

This record from Alexandria via LeMat-Bulk describes PmSm2DyEr2 after structural relaxation. The functional is PBE.

For the density of states at the Fermi level, the calculation gives 19.90 states/eV/cell. Its formation energy from the elements is 270 meV/atom.

It has space group Pnnm (No. 58), with a = 6.539 Å, b = 17.993 Å, c = 3.400 Å, α = 90.00°, β = 90.00° and γ = 90.00°. The asymmetric unit holds Pm at (0.000, 0.000, 0.000), Sm at (0.222, 0.188, 0.000), Dy at (0.000, 0.500, 0.000) and Er at (0.220, 0.354, 0.500).

This record from Alexandria via LeMat-Bulk describes PmSm2Dy6Er after structural relaxation. The functional is PBE.

For the density of states at the Fermi level, the calculation gives 55.35 states/eV/cell. Its formation energy from the elements is 117 meV/atom.

It has space group C2/c (No. 15), with a = 9.049 Å, b = 15.061 Å, c = 9.642 Å, α = 90.00°, β = 98.23° and γ = 90.00°. The asymmetric unit holds Pm at (0.000, 0.021, 0.250), Sm at (0.248, 0.052, 0.544), Dy at (0.065, 0.189, 0.943), Dy at (0.100, 0.393, 0.119), Dy at (0.205, 0.224, 0.314) and Er at (0.000, 0.408, 0.750).

This record from Alexandria via LeMat-Bulk describes PmSm6Dy2Er3 after structural relaxation. The functional is PBE.

For the density of states at the Fermi level, the calculation gives 28.99 states/eV/cell. Its formation energy from the elements is 15 meV/atom.

It has space group C2/m (No. 12), with a = 6.217 Å, b = 10.765 Å, c = 11.833 Å, α = 90.00°, β = 100.05° and γ = 90.00°. The asymmetric unit holds Pm at (0.000, 0.000, 0.000), Sm at (0.249, 0.000, 0.748), Sm at (0.249, 0.333, 0.748), Dy at (0.000, 0.333, 0.000), Er at (0.000, 0.167, 0.500) and Er at (0.000, 0.500, 0.500).

This record from Alexandria via LeMat-Bulk describes Pm4SmDyEr2 after structural relaxation. The functional is PBE.

For the density of states at the Fermi level, the calculation gives 10.72 states/eV/cell. Its formation energy from the elements is 16 meV/atom.

It has space group P2/m (No. 10), with a = 6.231 Å, b = 3.607 Å, c = 11.880 Å, α = 90.00°, β = 100.17° and γ = 90.00°. The asymmetric unit holds Pm at (0.249, 0.000, 0.248), Pm at (0.250, 0.500, 0.750), Sm at (0.500, 0.500, 0.500), Dy at (0.500, 0.000, 0.000), Er at (0.000, 0.000, 0.500) and Er at (0.000, 0.500, 0.000).

This record from Alexandria via LeMat-Bulk describes PmSm2DyEr5 after structural relaxation. The functional is PBE.

For the density of states at the Fermi level, the calculation gives 40.47 states/eV/cell. Its formation energy from the elements is 272 meV/atom.

It has space group I4/mcm (No. 140), with a = 8.705 Å, b = 8.705 Å, c = 15.245 Å, α = 90.00°, β = 90.00° and γ = 90.00°. The asymmetric unit holds Pm at (0.000, 0.000, 0.250), Sm at (0.116, 0.384, 0.000), Dy at (0.000, 0.500, 0.250), Er at (0.000, 0.000, 0.000) and Er at (0.209, 0.291, 0.363).

This record from Alexandria via LeMat-Bulk describes PmSm4DyEr2 after structural relaxation. The functional is PBE.

For the density of states at the Fermi level, the calculation gives 11.01 states/eV/cell. Its formation energy from the elements is 18 meV/atom.

It has space group P2/m (No. 10), with a = 6.211 Å, b = 3.595 Å, c = 11.881 Å, α = 90.00°, β = 100.12° and γ = 90.00°. The asymmetric unit holds Pm at (0.000, 0.000, 0.000), Sm at (0.251, 0.000, 0.749), Sm at (0.251, 0.500, 0.252), Dy at (0.000, 0.500, 0.500), Er at (0.500, 0.000, 0.500) and Er at (0.500, 0.500, 0.000).

This record from Alexandria via LeMat-Bulk describes Pm2Sm4DyEr2 after structural relaxation. The functional is PBE.

For the density of states at the Fermi level, the calculation gives 27.29 states/eV/cell. Its formation energy from the elements is 19 meV/atom.

It has space group C2/m (No. 12), with a = 15.280 Å, b = 5.090 Å, c = 8.025 Å, α = 90.00°, β = 108.54° and γ = 90.00°. The asymmetric unit holds Pm at (0.112, 0.000, 0.169), Sm at (0.055, 0.500, 0.831), Sm at (0.222, 0.000, 0.831), Dy at (0.000, 0.000, 0.500) and Er at (0.167, 0.500, 0.500).

This record from Alexandria via LeMat-Bulk describes Pm2SmDyEr4 after structural relaxation. The functional is PBE.

For the density of states at the Fermi level, the calculation gives 70.00 states/eV/cell. Its formation energy from the elements is 428 meV/atom.

It has space group C2/c (No. 15), with a = 13.598 Å, b = 13.246 Å, c = 6.796 Å, α = 90.00°, β = 119.98° and γ = 90.00°. The asymmetric unit holds Pm at (0.000, 0.000, 0.000), Pm at (0.250, 0.250, 0.000), Sm at (0.250, 0.250, 0.500), Dy at (0.000, 0.500, 0.000), Er at (0.000, 0.252, 0.000) and Er at (0.247, 0.500, 0.496).

This record from Alexandria via LeMat-Bulk describes Pm2Sm4DyEr after structural relaxation. The functional is PBE.

For the density of states at the Fermi level, the calculation gives 76.58 states/eV/cell. Its formation energy from the elements is 402 meV/atom.

It has space group C2/c (No. 15), with a = 13.727 Å, b = 13.265 Å, c = 6.873 Å, α = 90.00°, β = 119.94° and γ = 90.00°. The asymmetric unit holds Pm at (0.000, 0.000, 0.000), Pm at (0.250, 0.250, 0.000), Sm at (0.004, 0.253, 0.504), Sm at (0.248, 0.497, 0.456), Dy at (0.000, 0.500, 0.000) and Er at (0.250, 0.250, 0.500).

This record from Alexandria via LeMat-Bulk describes Pm2Sm4Dy2Er after structural relaxation. The functional is PBE.

For the density of states at the Fermi level, the calculation gives 14.67 states/eV/cell. Its formation energy from the elements is 80 meV/atom.

It has space group P-1 (No. 2), with a = 6.059 Å, b = 6.678 Å, c = 8.585 Å, α = 80.20°, β = 71.45° and γ = 65.50°. The asymmetric unit holds Pm at (0.095, 0.315, 0.344), Sm at (0.010, 0.128, 0.774), Sm at (0.326, 0.563, 0.873), Dy at (0.450, 0.780, 0.452) and Er at (0.500, 0.000, 0.000).

This record from Alexandria via LeMat-Bulk describes Pm5Sm2DyEr after structural relaxation. The functional is PBE.

For the density of states at the Fermi level, the calculation gives 55.39 states/eV/cell. Its formation energy from the elements is 286 meV/atom.

It has space group I4/mcm (No. 140), with a = 8.636 Å, b = 8.636 Å, c = 16.375 Å, α = 90.00°, β = 90.00° and γ = 90.00°. The asymmetric unit holds Pm at (0.000, 0.000, 0.000), Pm at (0.214, 0.286, 0.142), Sm at (0.120, 0.380, 0.500), Dy at (0.000, 0.000, 0.250) and Er at (0.000, 0.500, 0.250).